No. 1
A relaxed structure of Nd2SmSn2. Source: Alexandria, functional PBE-GGA.

Geometry as POSCAR:
```
Nd2SmSn2
1.0
6.5101 -2.4212 0.0000
6.5101 2.4212 0.0000
-5.0152 0.0000 9.9751
Nd Sm Sn
4 2 4
direct
0.0103 0.0103 0.1791
0.1844 0.1844 0.5891
0.8156 0.8156 0.4109
0.9897 0.9897 0.8209
0.2876 0.2876 0.1512
0.7124 0.7124 0.8488
0.3736 0.3736 0.9267
0.4589 0.4589 0.6067
0.5411 0.5411 0.3933
0.6264 0.6264 0.0733
```

The calculation puts the density at 7.14 Mg/m³. For the electronic total energy, the calculation gives -5.056 eV/atom. As for the density of states at the Fermi level: 0.859 states/eV/atom. The energy above the most stable polymorph in this dataset comes out at 0.096 eV/atom. The value obtained for the total moment is 0.000 μB/cell.

No. 2
A relaxed structure of BeNiSbI2. Source: Alexandria, functional PBE-GGA.

Geometry as POSCAR:
```
BeNiSbI2
1.0
5.4129 0.0000 0.0000
0.0000 5.4129 0.0000
0.0000 0.0000 4.8554
Be Ni Sb I
1 1 1 2
direct
0.0000 0.0000 0.0000
0.5000 0.5000 0.5000
0.5000 0.5000 0.0000
0.0000 0.5000 0.5000
0.5000 0.0000 0.5000
```

The calculation puts the density at 5.17 Mg/m³. For the electronic total energy, the calculation gives -2.575 eV/atom. For the uncorrected formation energy, the calculation gives 74 kJ/mol of atoms. As for the density of states at the Fermi level: 0.888 states/eV/atom. The energy above the most stable polymorph in this dataset comes out at 0.000 eV/atom. The value obtained for the total moment is 0.000 μB/cell.